# PBE Pu2UMn, optimized geometry
# VASP energy: -12.068 eV per atom
# Energy relative to the elements: 0.212 eV/atom
# Distance to the lowest polymorph of the same formula: 52.6 meV per atom
data_Pu2UMn
_chemical_formula_sum 'Pu8 U4 Mn4'
_space_group_name_H-M_alt 'F m -3 m'
_space_group_IT_number 225
_space_group_name_Hall '-F 4 2 3'
_cell_length_a 6.784
_cell_length_b 6.784
_cell_length_c 6.784
_cell_angle_alpha 90.00
_cell_angle_beta 90.00
_cell_angle_gamma 90.00
loop_
_atom_site_label
_atom_site_fract_x
_atom_site_fract_y
_atom_site_fract_z
Pu1 0.250 0.250 0.250
U1 0.000 0.000 0.000
Mn1 0.000 0.000 0.500

***

# PBE PuUMn4, optimized geometry
# VASP energy: -10.372 eV per atom
# Energy relative to the elements: 0.011 eV/atom
data_PuUMn4
_chemical_formula_sum 'Pu4 U4 Mn16'
_space_group_name_H-M_alt 'F -4 3 m'
_space_group_IT_number 216
_space_group_name_Hall 'F -4 2 3'
_cell_length_a 7.100
_cell_length_b 7.100
_cell_length_c 7.100
_cell_angle_alpha 90.00
_cell_angle_beta 90.00
_cell_angle_gamma 90.00
loop_
_atom_site_label
_atom_site_fract_x
_atom_site_fract_y
_atom_site_fract_z
Pu1 0.000 0.000 0.000
U1 0.250 0.250 0.750
Mn1 0.125 0.125 0.375

***

# PBE PuUMn2, optimized geometry
# VASP energy: -10.790 eV per atom
# Energy relative to the elements: 0.200 eV/atom
data_PuUMn2
_chemical_formula_sum 'Pu1 U1 Mn2'
_space_group_name_H-M_alt 'P 4/m m m'
_space_group_IT_number 123
_space_group_name_Hall '-P 4 2'
_cell_length_a 2.930
_cell_length_b 2.930
_cell_length_c 8.313
_cell_angle_alpha 90.00
_cell_angle_beta 90.00
_cell_angle_gamma 90.00
loop_
_atom_site_label
_atom_site_fract_x
_atom_site_fract_y
_atom_site_fract_z
Pu1 0.000 0.000 0.000
U1 0.000 0.000 0.500
Mn1 0.500 0.500 0.248

***

# PBE PuUMn, optimized geometry
# VASP energy: -11.505 eV per atom
# Energy relative to the elements: 0.092 eV/atom
# Distance to the lowest polymorph of the same formula: 0.0 meV per atom
data_PuUMn
_chemical_formula_sum 'Pu2 U2 Mn2'
_space_group_name_H-M_alt 'I 4 m m'
_space_group_IT_number 107
_space_group_name_Hall 'I 4 -2'
_cell_length_a 3.397
_cell_length_b 3.397
_cell_length_c 9.386
_cell_angle_alpha 90.00
_cell_angle_beta 90.00
_cell_angle_gamma 90.00
loop_
_atom_site_label
_atom_site_fract_x
_atom_site_fract_y
_atom_site_fract_z
Pu1 0.000 0.000 0.000
U1 0.000 0.000 0.677
Mn1 0.000 0.000 0.330

***

# PBE PuUMn, optimized geometry
# VASP energy: -11.463 eV per atom
# Energy relative to the elements: 0.133 eV/atom
# Distance to the lowest polymorph of the same formula: 41.8 meV per atom
data_PuUMn
_chemical_formula_sum 'Pu1 U1 Mn1'
_space_group_name_H-M_alt 'P -6 m 2'
_space_group_IT_number 187
_space_group_name_Hall 'P -6 2'
_cell_length_a 4.5817
_cell_length_b 4.5817
_cell_length_c 2.6906
_cell_angle_alpha 90.00
_cell_angle_beta 90.00
_cell_angle_gamma 120.00
loop_
_atom_site_label
_atom_site_fract_x
_atom_site_fract_y
_atom_site_fract_z
Pu1 0.0000 0.0000 0.0000
U1 0.3333 0.6667 0.0000
Mn1 0.6667 0.3333 0.5000

***

# PBE PuUMnZn, optimized geometry
# VASP energy: -8.983 eV per atom
# Energy relative to the elements: 0.033 eV/atom
data_PuUMnZn
_chemical_formula_sum 'Pu4 U4 Mn4 Zn4'
_space_group_name_H-M_alt 'F -4 3 m'
_space_group_IT_number 216
_space_group_name_Hall 'F -4 2 3'
_cell_length_a 6.553
_cell_length_b 6.553
_cell_length_c 6.553
_cell_angle_alpha 90.00
_cell_angle_beta 90.00
_cell_angle_gamma 90.00
loop_
_atom_site_label
_atom_site_fract_x
_atom_site_fract_y
_atom_site_fract_z
Pu1 0.000 0.000 0.000
U1 0.250 0.250 0.250
Mn1 0.000 0.000 0.500
Zn1 0.250 0.250 0.750

***

> The lowest VASP energy belongs to which entry?

Pu2UMn

***

Please write out number 3 again, unchanged.
# PBE PuUMn2, optimized geometry
# VASP energy: -10.790 eV per atom
# Energy relative to the elements: 0.200 eV/atom
data_PuUMn2
_chemical_formula_sum 'Pu1 U1 Mn2'
_space_group_name_H-M_alt 'P 4/m m m'
_space_group_IT_number 123
_space_group_name_Hall '-P 4 2'
_cell_length_a 2.930
_cell_length_b 2.930
_cell_length_c 8.313
_cell_angle_alpha 90.00
_cell_angle_beta 90.00
_cell_angle_gamma 90.00
loop_
_atom_site_label
_atom_site_fract_x
_atom_site_fract_y
_atom_site_fract_z
Pu1 0.000 0.000 0.000
U1 0.000 0.000 0.500
Mn1 0.500 0.500 0.248

***

> The lowest energy relative to the elements belongs to which entry?

PuUMn4